No. 1
Ca2InGe3Au4 | PBE | relaxed

a b c (Å): 4.4551 4.4551 11.1292
angles (deg): 90.00 90.00 90.00
Positions (direct):
Ca 0.5000 0.0000 0.2320
Ca 0.0000 0.5000 0.7680
In 0.5000 0.5000 0.5000
Ge 0.0000 0.0000 0.5000
Ge 0.5000 0.0000 0.8720
Ge 0.0000 0.5000 0.1280
Au 0.5000 0.5000 0.0000
Au 0.0000 0.0000 0.0000
Au 0.5000 0.0000 0.6471
Au 0.0000 0.5000 0.3529

Output
The calculation puts the total DFT energy (no corrections) at -3.8223 eV/atom.

***

No. 2
Pr4Sm2Y2Ho | PBE | relaxed

a b c (Å): 5.1624 8.1687 8.1241
angles (deg): 107.58 90.00 108.42
Positions (direct):
Pr 0.7778 0.5556 0.6680
Pr 0.2222 0.4444 0.3320
Pr 0.5545 0.1090 0.3312
Pr 0.4455 0.8910 0.6688
Sm 0.8889 0.7779 0.3309
Sm 0.1111 0.2221 0.6691
Y 0.3335 0.6670 0.0003
Y 0.6665 0.3330 0.9997
Ho 0.0000 0.0000 0.0000

Output
The calculation puts the total DFT energy (no corrections) at -5.0981 eV/atom.

***

No. 3
Ac2La9Sm | PBE | relaxed

a b c (Å): 5.3152 5.3152 15.9423
angles (deg): 90.00 90.00 90.00
Positions (direct):
Ac 0.0000 0.0000 0.3315
Ac 0.0000 0.0000 0.6685
La 0.5000 0.5000 0.0000
La 0.5000 0.5000 0.3302
La 0.5000 0.5000 0.6698
La 0.5000 0.0000 0.1619
La 0.5000 0.0000 0.5000
La 0.5000 0.0000 0.8381
La 0.0000 0.5000 0.1619
La 0.0000 0.5000 0.5000
La 0.0000 0.5000 0.8381
Sm 0.0000 0.0000 0.0000

Output
The calculation puts the total DFT energy (no corrections) at -4.7636 eV/atom.

***

No. 4
AcTbNdY | PBE | relaxed

a b c (Å): 3.7253 3.7253 10.3643
angles (deg): 90.00 90.00 90.00
Positions (direct):
Ac 0.1462 0.8538 0.7250
Tb 0.1462 0.8538 0.2187
Nd 0.6462 0.3538 0.4585
Y 0.6462 0.3538 0.9865

Output
The calculation puts the total DFT energy (no corrections) at -4.9461 eV/atom.